Entry from Alexandria via LeMat-Bulk: KZn2GeOs after structural relaxation (PBE).

Output
**Energy relative to the elements**: -0.015 eV/atom
**Uncorrected energy**: -3.914 eV per atom
**Magnetic moment**: 0.0 μB/f.u.

Unit cell a=4.978 b=4.978 c=4.724 alpha=90.00 beta=90.00 gamma=90.00
Element x y z (fractional)
K1 0.000 0.000 0.000
Zn1 0.000 0.500 0.500
Zn2 0.500 0.000 0.500
Ge1 0.500 0.500 0.000
Os1 0.500 0.500 0.500